# CdH3Rh, optimized geometry, DFT GGA-PBE
data_CdH3Rh
_symmetry_space_group_name_H-M 'P 1'
_symmetry_Int_Tables_number 1
_symmetry_space_group_name_Hall 'P 1'
_cell_length_a 3.419
_cell_length_b 3.419
_cell_length_c 8.660
_cell_angle_alpha 90.00
_cell_angle_beta 90.00
_cell_angle_gamma 120.00
loop_
_atom_site_label
_atom_site_type_symbol
_atom_site_fract_x
_atom_site_fract_y
_atom_site_fract_z
_atom_site_occupancy
H1 H 0.000 0.000 0.250 1
H2 H 0.000 0.000 0.750 1
H3 H 0.333 0.667 0.037 1
H4 H 0.333 0.667 0.463 1
H5 H 0.667 0.333 0.537 1
H6 H 0.667 0.333 0.963 1
Rh1 Rh 0.000 0.000 0.000 1
Rh2 Rh 0.000 0.000 0.500 1
Cd1 Cd 0.333 0.667 0.750 1
Cd2 Cd 0.667 0.333 0.250 1
# Energy (eV per atom): -3.4407
# D(E_F) (states/eV per atom): 0.09
# Volume (A^3/atom): 8.766


# Cd4H5Rh3, optimized geometry, DFT GGA-PBE
data_Cd4H5Rh3
_symmetry_space_group_name_H-M 'P 1'
_symmetry_Int_Tables_number 1
_symmetry_space_group_name_Hall 'P 1'
_cell_length_a 3.263
_cell_length_b 6.552
_cell_length_c 7.702
_cell_angle_alpha 104.98
_cell_angle_beta 102.23
_cell_angle_gamma 90.00
loop_
_atom_site_label
_atom_site_type_symbol
_atom_site_fract_x
_atom_site_fract_y
_atom_site_fract_z
_atom_site_occupancy
Cd1 Cd 0.916 0.149 0.832 1
Cd2 Cd 0.154 0.441 0.308 1
Cd3 Cd 0.846 0.559 0.692 1
Cd4 Cd 0.084 0.851 0.168 1
H1 H 0.256 0.118 0.511 1
H2 H 0.000 0.500 0.000 1
H3 H 0.397 0.822 0.793 1
H4 H 0.603 0.178 0.207 1
H5 H 0.744 0.882 0.489 1
Rh1 Rh 0.295 0.863 0.589 1
Rh2 Rh 0.500 0.500 0.000 1
Rh3 Rh 0.705 0.137 0.411 1
# Energy (eV per atom): -3.5462
# D(E_F) (states/eV per atom): 0.25
# Volume (A^3/atom): 12.932


# Cd3H4Rh2, optimized geometry, DFT GGA-PBE
data_Cd3H4Rh2
_symmetry_space_group_name_H-M 'P 1'
_symmetry_Int_Tables_number 1
_symmetry_space_group_name_Hall 'P 1'
_cell_length_a 5.426
_cell_length_b 8.301
_cell_length_c 8.301
_cell_angle_alpha 52.16
_cell_angle_beta 57.50
_cell_angle_gamma 57.50
loop_
_atom_site_label
_atom_site_type_symbol
_atom_site_fract_x
_atom_site_fract_y
_atom_site_fract_z
_atom_site_occupancy
Cd1 Cd 0.936 0.006 0.198 1
Cd2 Cd 0.564 0.802 0.994 1
Cd3 Cd 0.064 0.994 0.802 1
Cd4 Cd 0.436 0.198 0.006 1
Cd5 Cd 0.250 0.420 0.580 1
Cd6 Cd 0.750 0.580 0.420 1
H1 H 0.367 0.831 0.562 1
H2 H 0.133 0.438 0.169 1
H3 H 0.633 0.169 0.438 1
H4 H 0.867 0.562 0.831 1
H5 H 0.016 0.171 0.435 1
H6 H 0.484 0.565 0.829 1
H7 H 0.984 0.829 0.565 1
H8 H 0.516 0.435 0.171 1
Rh1 Rh 0.329 0.236 0.366 1
Rh2 Rh 0.171 0.634 0.764 1
Rh3 Rh 0.671 0.764 0.634 1
Rh4 Rh 0.829 0.366 0.236 1
# D(E_F) (states/eV per atom): 0.14
# Volume (A^3/atom): 13.144
# Energy relative to the lowest polymorph listed for this composition (meV per atom): 11


# CdH5Rh2, optimized geometry, DFT GGA-PBE
data_CdH5Rh2
_symmetry_space_group_name_H-M 'P 1'
_symmetry_Int_Tables_number 1
_symmetry_space_group_name_Hall 'P 1'
_cell_length_a 3.054
_cell_length_b 5.174
_cell_length_c 5.174
_cell_angle_alpha 59.01
_cell_angle_beta 72.83
_cell_angle_gamma 72.83
loop_
_atom_site_label
_atom_site_type_symbol
_atom_site_fract_x
_atom_site_fract_y
_atom_site_fract_z
_atom_site_occupancy
Cd1 Cd 0.000 0.000 0.000 1
H1 H 0.000 0.500 0.500 1
H2 H 0.668 0.529 0.134 1
H3 H 0.332 0.471 0.866 1
H4 H 0.332 0.866 0.471 1
H5 H 0.668 0.134 0.529 1
Rh1 Rh 0.789 0.711 0.711 1
Rh2 Rh 0.211 0.289 0.289 1
# Energy (eV per atom): -4.0786
# D(E_F) (states/eV per atom): 0.16
# Volume (A^3/atom): 8.241


# CdH3Rh, optimized geometry, DFT GGA-PBE
data_CdH3Rh
_symmetry_space_group_name_H-M 'P 1'
_symmetry_Int_Tables_number 1
_symmetry_space_group_name_Hall 'P 1'
_cell_length_a 2.836
_cell_length_b 4.933
_cell_length_c 7.432
_cell_angle_alpha 90.00
_cell_angle_beta 100.85
_cell_angle_gamma 90.00
loop_
_atom_site_label
_atom_site_type_symbol
_atom_site_fract_x
_atom_site_fract_y
_atom_site_fract_z
_atom_site_occupancy
H1 H 0.821 0.938 0.131 1
H2 H 0.179 0.062 0.869 1
H3 H 0.821 0.562 0.131 1
H4 H 0.179 0.438 0.869 1
H5 H 0.532 0.250 0.569 1
H6 H 0.468 0.750 0.431 1
Rh1 Rh 0.640 0.250 0.791 1
Rh2 Rh 0.360 0.750 0.209 1
Cd1 Cd 0.917 0.250 0.328 1
Cd2 Cd 0.083 0.750 0.672 1
# Energy (eV per atom): -3.5517
# D(E_F) (states/eV per atom): 0.33
# Volume (A^3/atom): 10.210


# CdH3Rh, optimized geometry, DFT GGA-PBE
data_CdH3Rh
_symmetry_space_group_name_H-M 'P 1'
_symmetry_Int_Tables_number 1
_symmetry_space_group_name_Hall 'P 1'
_cell_length_a 2.804
_cell_length_b 5.266
_cell_length_c 5.266
_cell_angle_alpha 133.17
_cell_angle_beta 90.00
_cell_angle_gamma 90.00
loop_
_atom_site_label
_atom_site_type_symbol
_atom_site_fract_x
_atom_site_fract_y
_atom_site_fract_z
_atom_site_occupancy
H1 H 0.500 0.167 0.357 1
H2 H 0.500 0.643 0.833 1
H3 H 0.000 0.271 0.729 1
Rh1 Rh 0.000 0.442 0.558 1
Cd1 Cd 0.500 0.105 0.895 1
# Energy (eV per atom): -3.5775
# D(E_F) (states/eV per atom): 0.24
# Volume (A^3/atom): 11.342


# CdH3Rh2, optimized geometry, DFT GGA-PBE
data_CdH3Rh2
_symmetry_space_group_name_H-M 'P 1'
_symmetry_Int_Tables_number 1
_symmetry_space_group_name_Hall 'P 1'
_cell_length_a 9.528
_cell_length_b 6.056
_cell_length_c 6.056
_cell_angle_alpha 43.21
_cell_angle_beta 38.13
_cell_angle_gamma 38.13
loop_
_atom_site_label
_atom_site_type_symbol
_atom_site_fract_x
_atom_site_fract_y
_atom_site_fract_z
_atom_site_occupancy
Cd1 Cd 0.135 0.250 0.250 1
Cd2 Cd 0.865 0.750 0.750 1
H1 H 0.000 0.784 0.216 1
H2 H 0.000 0.216 0.784 1
H3 H 0.500 0.716 0.284 1
H4 H 0.500 0.000 0.500 1
H5 H 0.500 0.500 0.000 1
H6 H 0.500 0.284 0.716 1
Rh1 Rh 0.181 0.970 0.970 1
Rh2 Rh 0.379 0.470 0.470 1
Rh3 Rh 0.621 0.530 0.530 1
Rh4 Rh 0.819 0.030 0.030 1
# D(E_F) (states/eV per atom): 0.85
# Volume (A^3/atom): 10.629
# Energy relative to the lowest polymorph listed for this composition (meV per atom): 56


# Cd2H3Rh, optimized geometry, DFT GGA-PBE
data_Cd2H3Rh
_symmetry_space_group_name_H-M 'P 1'
_symmetry_Int_Tables_number 1
_symmetry_space_group_name_Hall 'P 1'
_cell_length_a 5.287
_cell_length_b 5.287
_cell_length_c 6.683
_cell_angle_alpha 97.09
_cell_angle_beta 124.10
_cell_angle_gamma 97.78
loop_
_atom_site_label
_atom_site_type_symbol
_atom_site_fract_x
_atom_site_fract_y
_atom_site_fract_z
_atom_site_occupancy
Cd1 Cd 0.653 0.026 0.358 1
Cd2 Cd 0.347 0.974 0.642 1
Cd3 Cd 0.832 0.704 0.858 1
Cd4 Cd 0.168 0.296 0.142 1
H1 H 0.892 0.605 0.562 1
H2 H 0.108 0.395 0.438 1
H3 H 0.543 0.330 0.938 1
H4 H 0.981 0.231 0.750 1
H5 H 0.457 0.670 0.062 1
H6 H 0.019 0.769 0.250 1
Rh1 Rh 0.780 0.530 0.250 1
Rh2 Rh 0.220 0.470 0.750 1
# Energy (eV per atom): -3.1839
# D(E_F) (states/eV per atom): 0.27
# Volume (A^3/atom): 12.388


# CdH3Rh, optimized geometry, DFT GGA-PBE
data_CdH3Rh
_symmetry_space_group_name_H-M 'P 1'
_symmetry_Int_Tables_number 1
_symmetry_space_group_name_Hall 'P 1'
_cell_length_a 4.948
_cell_length_b 4.948
_cell_length_c 4.948
_cell_angle_alpha 66.55
_cell_angle_beta 66.55
_cell_angle_gamma 66.55
loop_
_atom_site_label
_atom_site_type_symbol
_atom_site_fract_x
_atom_site_fract_y
_atom_site_fract_z
_atom_site_occupancy
H1 H 0.947 0.553 0.250 1
H2 H 0.553 0.250 0.947 1
H3 H 0.250 0.947 0.553 1
H4 H 0.750 0.053 0.447 1
H5 H 0.447 0.750 0.053 1
H6 H 0.053 0.447 0.750 1
Rh1 Rh 0.250 0.250 0.250 1
Rh2 Rh 0.750 0.750 0.750 1
Cd1 Cd 0.000 0.000 0.000 1
Cd2 Cd 0.500 0.500 0.500 1
# Energy (eV per atom): -3.3436
# D(E_F) (states/eV per atom): 0.30
# Volume (A^3/atom): 9.772


# Cd3HRh2, optimized geometry, DFT GGA-PBE
data_Cd3HRh2
_symmetry_space_group_name_H-M 'P 1'
_symmetry_Int_Tables_number 1
_symmetry_space_group_name_Hall 'P 1'
_cell_length_a 5.337
_cell_length_b 5.337
_cell_length_c 7.247
_cell_angle_alpha 77.27
_cell_angle_beta 77.27
_cell_angle_gamma 88.83
loop_
_atom_site_label
_atom_site_type_symbol
_atom_site_fract_x
_atom_site_fract_y
_atom_site_fract_z
_atom_site_occupancy
Cd1 Cd 0.325 0.675 0.250 1
Cd2 Cd 0.675 0.325 0.750 1
Cd3 Cd 0.132 0.247 0.026 1
Cd4 Cd 0.753 0.868 0.474 1
Cd5 Cd 0.868 0.753 0.974 1
Cd6 Cd 0.247 0.132 0.526 1
H1 H 0.625 0.375 0.250 1
H2 H 0.375 0.625 0.750 1
Rh1 Rh 0.866 0.403 0.361 1
Rh2 Rh 0.597 0.134 0.139 1
Rh3 Rh 0.403 0.866 0.861 1
Rh4 Rh 0.134 0.597 0.639 1
# Energy (eV per atom): -3.5544
# D(E_F) (states/eV per atom): 0.29
# Volume (A^3/atom): 16.357


# CdH3Rh, optimized geometry, DFT GGA-PBE
data_CdH3Rh
_symmetry_space_group_name_H-M 'P 1'
_symmetry_Int_Tables_number 1
_symmetry_space_group_name_Hall 'P 1'
_cell_length_a 12.430
_cell_length_b 5.262
_cell_length_c 4.896
_cell_angle_alpha 90.00
_cell_angle_beta 138.06
_cell_angle_gamma 90.00
loop_
_atom_site_label
_atom_site_type_symbol
_atom_site_fract_x
_atom_site_fract_y
_atom_site_fract_z
_atom_site_occupancy
H1 H 0.388 0.006 0.383 1
H2 H 0.612 0.994 0.617 1
H3 H 0.112 0.506 0.117 1
H4 H 0.888 0.494 0.883 1
H5 H 0.385 0.486 0.415 1
H6 H 0.615 0.514 0.585 1
H7 H 0.115 0.986 0.085 1
H8 H 0.885 0.014 0.915 1
H9 H 0.558 0.878 0.979 1
H10 H 0.442 0.122 0.021 1
H11 H 0.942 0.378 0.521 1
H12 H 0.058 0.622 0.479 1
Rh1 Rh 0.517 0.743 0.618 1
Rh2 Rh 0.483 0.257 0.382 1
Rh3 Rh 0.983 0.243 0.882 1
Rh4 Rh 0.017 0.757 0.118 1
Cd1 Cd 0.158 0.147 0.716 1
Cd2 Cd 0.842 0.853 0.284 1
Cd3 Cd 0.342 0.647 0.784 1
Cd4 Cd 0.658 0.353 0.216 1
# Energy (eV per atom): -3.6557
# D(E_F) (states/eV per atom): 0.13
# Volume (A^3/atom): 10.701


# CdH3Rh, optimized geometry, DFT GGA-PBE
data_CdH3Rh
_symmetry_space_group_name_H-M 'P 1'
_symmetry_Int_Tables_number 1
_symmetry_space_group_name_Hall 'P 1'
_cell_length_a 11.500
_cell_length_b 4.906
_cell_length_c 4.906
_cell_angle_alpha 135.95
_cell_angle_beta 143.48
_cell_angle_gamma 36.52
loop_
_atom_site_label
_atom_site_type_symbol
_atom_site_fract_x
_atom_site_fract_y
_atom_site_fract_z
_atom_site_occupancy
H1 H 0.847 0.217 0.783 1
H2 H 0.153 0.783 0.217 1
H3 H 0.918 0.392 0.608 1
H4 H 0.082 0.608 0.392 1
H5 H 0.395 0.786 0.214 1
H6 H 0.605 0.214 0.786 1
Rh1 Rh 0.875 0.993 0.007 1
Rh2 Rh 0.125 0.007 0.993 1
Cd1 Cd 0.676 0.919 0.081 1
Cd2 Cd 0.324 0.081 0.919 1
# Energy (eV per atom): -3.6304
# D(E_F) (states/eV per atom): 0.19
# Volume (A^3/atom): 9.593